[1]
Entry from Alexandria via LeMat-Bulk: Na3AlO3 after structural relaxation (PBE).

Crystal system: monoclinic
Raw formation energy in eV per atom: -2.020
Offset from the most stable computed form in meV/atom: 0
Space-group type: No. 14
Total DFT energy (no corrections) in eV/atom: -5.25

Cell lengths 6.0992, 6.3873, 9.7822 Å; angles 93.60, 90.00, 90.00 degrees
Closest atoms and distances in Å follow each position.
Sites, in units of the cell vectors:
Na (0.8791, 0.9193, 0.8418)  3 O 2.34-2.49
Na (0.6209, 0.9193, 0.3418)  3 O 2.34-2.49
Na (0.2067, 0.6283, 0.6866)  3 O 2.24-2.46
Na (0.6663, 0.6376, 0.5841)  4 O 2.29-2.46
Na (0.2933, 0.6283, 0.1866)  3 O 2.24-2.46
Na (0.8337, 0.6376, 0.0841)  4 O 2.29-2.46
Na (0.1663, 0.3624, 0.9159)  4 O 2.29-2.46
Na (0.7067, 0.3717, 0.8134)  3 O 2.24-2.46
Na (0.3337, 0.3624, 0.4159)  4 O 2.29-2.46
Na (0.7933, 0.3717, 0.3134)  3 O 2.24-2.46
Na (0.3791, 0.0807, 0.6582)  3 O 2.34-2.49
Na (0.1209, 0.0807, 0.1582)  3 O 2.34-2.49
Al (0.4114, 0.8379, 0.9341)  4 O 1.74-1.85
Al (0.0886, 0.8379, 0.4341)  4 O 1.74-1.85
Al (0.9114, 0.1621, 0.5659)  4 O 1.74-1.85
Al (0.5886, 0.1621, 0.0659)  4 O 1.74-1.85
O (0.9467, 0.8826, 0.5989)  2 Al 1.84-1.85
O (0.5533, 0.8826, 0.0989)  2 Al 1.84-1.85
O (0.1451, 0.7452, 0.9636)  1 Al 1.76
O (0.3550, 0.7452, 0.4636)  1 Al 1.76
O (0.5524, 0.6896, 0.8070)  1 Al 1.74
O (0.9476, 0.6896, 0.3070)  1 Al 1.74
O (0.0524, 0.3104, 0.6930)  1 Al 1.74
O (0.4476, 0.3104, 0.1930)  1 Al 1.74
O (0.6450, 0.2548, 0.5364)  1 Al 1.76
O (0.8550, 0.2548, 0.0364)  1 Al 1.76
O (0.4467, 0.1174, 0.9011)  2 Al 1.84-1.85
O (0.0533, 0.1174, 0.4011)  2 Al 1.84-1.85

---

[2]
Entry from Alexandria via LeMat-Bulk: Na14Al2O9 after structural relaxation (PBE).

Crystal system: trigonal
Raw formation energy in eV per atom: -1.507
Space-group type: No. 147
Total DFT energy (no corrections) in eV/atom: -4.33

Cell lengths 6.7221, 6.7221, 9.3722 Å; angles 90.00, 90.00, 120.00 degrees
Closest atoms and distances in Å follow each position.
Sites, in units of the cell vectors:
Na (0.0443, 0.6789, 0.9083)  4 O 2.44-2.53
Na (0.3007, 0.9109, 0.5945)  4 O 2.38-2.52
Na (0.0891, 0.3898, 0.5945)  4 O 2.38-2.52
Na (0.0000, 0.0000, 0.2491)  4 O 2.33-2.49
Na (0.0000, 0.0000, 0.7509)  4 O 2.33-2.49
Na (0.3211, 0.3654, 0.9083)  4 O 2.44-2.53
Na (0.6346, 0.9557, 0.9083)  4 O 2.44-2.53
Na (0.3898, 0.3007, 0.4055)  4 O 2.38-2.52
Na (0.6102, 0.6993, 0.5945)  4 O 2.38-2.52
Na (0.3654, 0.0443, 0.0917)  4 O 2.44-2.53
Na (0.6789, 0.6346, 0.0917)  4 O 2.44-2.53
Na (0.9109, 0.6102, 0.4055)  4 O 2.38-2.52
Na (0.6993, 0.0891, 0.4055)  4 O 2.38-2.52
Na (0.9557, 0.3211, 0.0917)  4 O 2.44-2.53
Al (0.3333, 0.6667, 0.2706)  4 O 1.83-1.84
Al (0.6667, 0.3333, 0.7294)  4 O 1.83-1.84
O (0.2868, 0.8976, 0.3369)  1 Al 1.84
O (0.1024, 0.3892, 0.3369)  1 Al 1.84
O (0.3333, 0.6667, 0.0758)  1 Al 1.83
O (0.0000, 0.0000, 0.0000)  8 Na 2.33-2.48
O (0.3892, 0.2868, 0.6631)  1 Al 1.84
O (0.6108, 0.7132, 0.3369)  1 Al 1.84
O (0.6667, 0.3333, 0.9242)  1 Al 1.83
O (0.8976, 0.6108, 0.6631)  1 Al 1.84
O (0.7132, 0.1024, 0.6631)  1 Al 1.84

---

[3]
Entry from Alexandria via LeMat-Bulk: Na14Al4O13 after structural relaxation (PBE).

Crystal system: monoclinic
Raw formation energy in eV per atom: -1.970
Space-group type: No. 14
Total DFT energy (no corrections) in eV/atom: -5.13

Cell lengths 6.0087, 6.0141, 27.3712 Å; angles 90.00, 90.00, 119.59 degrees
Closest atoms and distances in Å follow each position.
Sites, in units of the cell vectors:
Na (0.6495, 0.5016, 0.5536)  4 O 2.38-2.57
Na (0.2544, 0.9670, 0.6108)  4 O 2.29-2.51
Na (0.2336, 0.4666, 0.0003)  3 O 2.29-2.44
Na (0.7664, 0.0334, 0.5003)  3 O 2.29-2.44
Na (0.7664, 0.5334, 0.9997)  3 O 2.29-2.44
Na (0.2336, 0.9666, 0.4997)  3 O 2.29-2.44
Na (0.7836, 0.5342, 0.8882)  4 O 2.29-2.57
Na (0.2164, 0.9658, 0.3882)  4 O 2.29-2.57
Na (0.2164, 0.4658, 0.1118)  4 O 2.29-2.57
Na (0.7836, 0.0342, 0.6118)  4 O 2.29-2.57
Na (0.7456, 0.0330, 0.3892)  4 O 2.29-2.51
Na (0.2544, 0.4670, 0.8892)  4 O 2.29-2.51
Na (0.7857, 0.0601, 0.7242)  4 O 2.31-2.58
Na (0.2143, 0.4399, 0.2242)  4 O 2.31-2.58
Na (0.2143, 0.9399, 0.2758)  4 O 2.31-2.58
Na (0.7857, 0.5601, 0.7758)  4 O 2.31-2.58
Na (0.3698, 0.5071, 0.6607)  3 O 2.28-2.48
Na (0.6302, 0.9929, 0.1607)  3 O 2.28-2.48
Na (0.2110, 0.4508, 0.7817)  4 O 2.25-2.43
Na (0.3698, 0.0071, 0.8393)  3 O 2.28-2.48
Na (0.6302, 0.4929, 0.3393)  3 O 2.28-2.48
Na (0.3505, 0.9984, 0.0536)  4 O 2.38-2.57
Na (0.3505, 0.4984, 0.4464)  4 O 2.38-2.57
Na (0.6495, 0.0016, 0.9464)  4 O 2.38-2.57
Na (0.2110, 0.9508, 0.7183)  4 O 2.25-2.43
Na (0.7890, 0.5492, 0.2183)  4 O 2.25-2.43
Na (0.7890, 0.0492, 0.2817)  4 O 2.25-2.43
Na (0.7456, 0.5330, 0.1108)  4 O 2.29-2.51
Al (0.8447, 0.4996, 0.6650)  4 O 1.78-1.81
Al (0.1553, 0.0004, 0.1650)  4 O 1.78-1.81
Al (0.1553, 0.5004, 0.3350)  4 O 1.78-1.81
Al (0.8447, 0.9996, 0.8350)  4 O 1.78-1.81
Al (0.1639, 0.4997, 0.5550)  4 O 1.76-1.80
Al (0.8361, 0.0003, 0.0550)  4 O 1.76-1.80
Al (0.8361, 0.5003, 0.4450)  4 O 1.76-1.80
Al (0.1639, 0.9997, 0.9450)  4 O 1.76-1.80
O (0.0000, 0.5000, 0.5000)  2 Al 1.80
O (0.0000, 0.0000, 0.0000)  2 Al 1.80
O (0.0635, 0.5081, 0.7100)  1 Al 1.78
O (0.9365, 0.9919, 0.2100)  1 Al 1.78
O (0.9365, 0.4919, 0.2900)  1 Al 1.78
O (0.0635, 0.0081, 0.7900)  1 Al 1.78
O (0.4632, 0.7835, 0.5572)  1 Al 1.77
O (0.5368, 0.7165, 0.0572)  1 Al 1.77
O (0.5368, 0.2165, 0.4428)  1 Al 1.77
O (0.4632, 0.2835, 0.9428)  1 Al 1.77
O (0.5461, 0.2136, 0.6711)  1 Al 1.78
O (0.4539, 0.2864, 0.1711)  1 Al 1.78
O (0.4539, 0.7864, 0.3289)  1 Al 1.78
O (0.5461, 0.7136, 0.8289)  1 Al 1.78
O (0.8201, 0.7813, 0.6705)  1 Al 1.78
O (0.1799, 0.7187, 0.1705)  1 Al 1.78
O (0.1799, 0.2187, 0.3295)  1 Al 1.78
O (0.8201, 0.2813, 0.8295)  1 Al 1.78
O (0.1815, 0.2157, 0.5569)  1 Al 1.76
O (0.8185, 0.2843, 0.0569)  1 Al 1.76
O (0.8185, 0.7843, 0.4431)  1 Al 1.76
O (0.1815, 0.7157, 0.9431)  1 Al 1.76
O (0.9696, 0.4999, 0.6047)  2 Al 1.79-1.81
O (0.0304, 0.0001, 0.1047)  2 Al 1.79-1.81
O (0.0304, 0.5001, 0.3953)  2 Al 1.79-1.81
O (0.9696, 0.9999, 0.8953)  2 Al 1.79-1.81

---

[4]
Entry from Alexandria via LeMat-Bulk: NaAlO2 after structural relaxation (PBE).

Crystal system: monoclinic
Raw formation energy in eV per atom: -2.515
Space-group type: No. 15
Total DFT energy (no corrections) in eV/atom: -6.26

Cell lengths 5.9246, 5.9246, 11.1610 Å; angles 82.64, 82.64, 90.00 degrees
Closest atoms and distances in Å follow each position.
Sites, in units of the cell vectors:
Na (0.7814, 0.1576, 0.8750)  6 O 2.48-2.59, 1 Na 2.74
Na (0.8424, 0.2186, 0.6250)  6 O 2.48-2.59, 1 Na 2.74
Na (0.2186, 0.8424, 0.1250)  6 O 2.48-2.59, 1 Na 2.74
Na (0.1576, 0.7814, 0.3750)  6 O 2.48-2.59, 1 Na 2.74
Na (0.3461, 0.2197, 0.6117)  6 O 2.39-2.59
Na (0.7803, 0.6539, 0.8883)  6 O 2.39-2.59
Na (0.6539, 0.7803, 0.3883)  6 O 2.39-2.59
Na (0.2197, 0.3461, 0.1117)  6 O 2.39-2.59
Al (0.0890, 0.7132, 0.6497)  4 O 1.77-1.79
Al (0.2868, 0.9110, 0.8503)  4 O 1.77-1.79
Al (0.9110, 0.2868, 0.3503)  4 O 1.77-1.79
Al (0.7132, 0.0890, 0.1497)  4 O 1.77-1.79
Al (0.5838, 0.7127, 0.6515)  4 O 1.78-1.79
Al (0.2873, 0.4162, 0.8485)  4 O 1.78-1.79
Al (0.4162, 0.2873, 0.3485)  4 O 1.78-1.79
Al (0.7127, 0.5838, 0.1515)  4 O 1.78-1.79
O (0.2624, 0.6405, 0.9425)  2 Al 1.79
O (0.3595, 0.7376, 0.5575)  2 Al 1.79
O (0.7376, 0.3595, 0.0575)  2 Al 1.79
O (0.6405, 0.2624, 0.4425)  2 Al 1.79
O (0.9272, 0.5519, 0.2517)  2 Al 1.79
O (0.4481, 0.0728, 0.2483)  2 Al 1.79
O (0.0728, 0.4481, 0.7483)  2 Al 1.79
O (0.5519, 0.9272, 0.7517)  2 Al 1.79
O (0.8568, 0.7352, 0.5635)  2 Al 1.77-1.78
O (0.2648, 0.1432, 0.9365)  2 Al 1.77-1.78
O (0.1432, 0.2648, 0.4365)  2 Al 1.77-1.78
O (0.7352, 0.8568, 0.0635)  2 Al 1.77-1.78
O (0.9280, 0.0720, 0.2500)  2 Al 1.79
O (0.0720, 0.9280, 0.7500)  2 Al 1.79
O (0.4480, 0.5520, 0.2500)  2 Al 1.79
O (0.5520, 0.4480, 0.7500)  2 Al 1.79

---

[5]
Entry from Alexandria via LeMat-Bulk: NaAlO3 after structural relaxation (PBE).

Crystal system: cubic
Raw formation energy in eV per atom: 0.330
Space-group type: No. 221
Total DFT energy (no corrections) in eV/atom: -3.66

Cell lengths 3.8652, 3.8652, 3.8652 Å; angles 90.00, 90.00, 90.00 degrees
Closest atoms and distances in Å follow each position.
Sites, in units of the cell vectors:
Na (0.0000, 0.0000, 0.0000)  6 O 1.93
Al (0.5000, 0.5000, 0.5000)  12 O 2.73
O (0.0000, 0.5000, 0.0000)  2 Na 1.93
O (0.0000, 0.0000, 0.5000)  2 Na 1.93
O (0.5000, 0.0000, 0.0000)  2 Na 1.93

---

[6]
Entry from Alexandria via LeMat-Bulk: Na5Al2O5 after structural relaxation (PBE).

Crystal system: monoclinic
Raw formation energy in eV per atom: -1.906
Space-group type: No. 12
Total DFT energy (no corrections) in eV/atom: -5.15

Cell lengths 3.1044, 6.7301, 8.4790 Å; angles 77.24, 90.00, 103.33 degrees
Closest atoms and distances in Å follow each position.
Sites, in units of the cell vectors:
Na (0.5000, 0.0000, 0.5000)  6 O 2.39-2.66
Na (0.6309, 0.2618, 0.0323)  2 O 2.37
Na (0.7099, 0.4198, 0.3149)  2 O 2.38
Na (0.2901, 0.5802, 0.6851)  2 O 2.38
Na (0.3691, 0.7382, 0.9677)  2 O 2.37
Al (0.0392, 0.0785, 0.7809)  4 O 1.76-1.85
Al (0.9608, 0.9215, 0.2191)  4 O 1.76-1.85
O (0.0760, 0.1520, 0.2928)  1 Al 1.76
O (0.6146, 0.2293, 0.7220)  2 Al 1.85
O (0.3854, 0.7707, 0.2780)  2 Al 1.85
O (0.9240, 0.8480, 0.7072)  1 Al 1.76
O (0.0000, 0.0000, 0.0000)  2 Al 1.81